Density functional theory data (PBE-GGA) for a geometry-optimized ZnPd8Pt6 structure.

Lattice parameters (Å, degrees): 6.863 6.863 6.863 64.77 64.77 64.77
Positions (direct):
Zn 0.000 0.000 0.000
Pd 0.141 0.429 0.821
Pd 0.179 0.859 0.571
Pd 0.255 0.255 0.255
Pd 0.429 0.821 0.141
Pd 0.571 0.179 0.859
Pd 0.745 0.745 0.745
Pd 0.821 0.141 0.429
Pd 0.859 0.571 0.179
Pt 0.076 0.674 0.363
Pt 0.326 0.637 0.924
Pt 0.363 0.076 0.674
Pt 0.637 0.924 0.326
Pt 0.674 0.363 0.076
Pt 0.924 0.326 0.637

Formation energy from the elements ... 0.117 eV per atom
E above lowest polymorph ... 0 meV/atom
Symmetry ... R-3 (148)